Here is a geometry-optimized In2Hg8Bi structure from the Alexandria database. Energies are from PBE.

a b c (Å): 5.045 5.045 12.275
angles (deg): 90.00 90.00 90.00
Positions (direct):
In 0.000 0.000 0.325
In 0.000 0.000 0.675
Bi 0.000 0.000 0.000
Hg 0.500 0.500 0.325
Hg 0.500 0.000 0.157
Hg 0.000 0.500 0.500
Hg 0.000 0.500 0.843
Hg 0.500 0.000 0.843
Hg 0.000 0.500 0.157
Hg 0.500 0.500 0.675
Hg 0.500 0.000 0.500

- Formation energy from the elements: 0.037 eV per atom
- Total DFT energy (no corrections): -1.033 eV per atom

Here is a geometry-optimized In2Hg9Bi structure from the Alexandria database. Energies are from PBE.

a b c (Å): 5.698 5.708 10.150
angles (deg): 89.73 90.00 90.00
Positions (direct):
Hg 0.000 0.501 0.834
Hg 0.500 0.500 0.331
Hg 0.000 0.499 0.166
Hg 0.500 0.999 0.166
Hg 0.500 0.000 0.500
Hg 0.500 0.001 0.834
Hg 0.500 0.500 0.000
Hg 0.000 0.500 0.500
Hg 0.500 0.500 0.669
Bi 0.000 0.000 0.000
In 0.000 0.000 0.335
In 0.000 0.000 0.665

- Formation energy from the elements: 0.031 eV per atom
- Total DFT energy (no corrections): -0.976 eV per atom

Here is a geometry-optimized InHg2Bi2 structure from the Alexandria database. Energies are from PBE.

a b c (Å): 9.231 9.231 3.478
angles (deg): 90.00 90.00 90.00
Positions (direct):
Hg 0.363 0.863 0.000
Hg 0.637 0.137 0.000
Hg 0.137 0.363 0.000
Hg 0.863 0.637 0.000
Bi 0.661 0.839 0.500
Bi 0.839 0.339 0.500
Bi 0.161 0.661 0.500
Bi 0.339 0.161 0.500
In 0.000 0.000 0.000
In 0.500 0.500 0.000

- Formation energy from the elements: 0.109 eV per atom
- Total DFT energy (no corrections): -2.112 eV per atom

- Number 2 is which compound?
  In2Hg9Bi